1.
VASP calculation (GGA-PBEsol) on a relaxed structure of Ni2AgHg.

Computed properties:
final energy: -30.83 eV per cell
size of the total moment: 0.21 μB/f.u.
energy of formation: 0.20 eV per atom

a b c (Å): 9.3722 2.8474 4.4877
angles (deg): 90.00 108.52 90.00
Space group Cm (No. 8)
Symmetry-distinct sites (fractional):
1 Ni 0.0000 0.0000 0.0000 [2 per cell]
2 Ni 0.2116 0.5000 0.2740 [2 per cell]
3 Ag 0.2443 0.0000 0.8023 [2 per cell]
4 Hg 0.4670 0.0000 0.4750 [2 per cell]



2.
VASP calculation (GGA-PBEsol) on a relaxed structure of Mn3As2.

Computed properties:
final energy: -320.22 eV per cell
size of the total moment: 6.85 μB/f.u.
energy of formation: -0.11 eV per atom

a b c (Å): 3.3705 12.6985 12.6052
angles (deg): 90.00 90.00 90.00
Space group Cmc2_1 (No. 36)
Symmetry-distinct sites (fractional):
1 Mn 0.0000 0.0281 0.0000 [4 per cell]
2 Mn 0.0000 0.1113 0.3272 [4 per cell]
3 Mn 0.0000 0.1727 0.5788 [4 per cell]
4 Mn 0.0000 0.2287 0.8621 [4 per cell]
5 Mn 0.0000 0.3696 0.6683 [4 per cell]
6 Mn 0.0000 0.4441 0.3205 [4 per cell]
7 As 0.0000 0.0105 0.6849 [4 per cell]
8 As 0.0000 0.2676 0.2149 [4 per cell]
9 As 0.0000 0.3387 0.4846 [4 per cell]
10 As 0.0000 0.4002 0.9560 [4 per cell]



3.
VASP calculation (GGA-PBEsol) on a relaxed structure of POsRh2.

Computed properties:
final energy: -67.73 eV per cell
size of the total moment: 0.00 μB/f.u.
energy of formation: 0.10 eV per atom

a b c (Å): 3.7268 3.7268 7.5687
angles (deg): 90.00 90.00 90.00
Space group I4/mmm (No. 139)
Symmetry-distinct sites (fractional):
1 P 0.0000 0.0000 0.0000 [2 per cell]
2 Os 0.0000 0.0000 0.5000 [2 per cell]
3 Rh 0.0000 0.5000 0.2500 [4 per cell]



4.
VASP calculation (GGA-PBEsol) on a relaxed structure of HPdN2.

Computed properties:
final energy: -60.51 eV per cell
size of the total moment: 0.00 μB/f.u.
energy above the most stable polymorph in this dataset: 0.178 eV/atom

a b c (Å): 2.8743 2.8743 14.1923
angles (deg): 90.00 90.00 120.00
Space group R-3m (No. 166, hexagonal axes)
Symmetry-distinct sites (fractional):
1 H 0.0000 0.0000 0.0000 [3 per cell]
2 Pd 0.0000 0.0000 0.5000 [3 per cell]
3 N 0.0000 0.0000 0.3607 [6 per cell]